Entry 1:
The following is a PBE calculation of a relaxed structure of Na2B3C, from the Alexandria database.

Properties
Excess energy over the best structure of this formula in the dataset ... 22 meV/atom
SG ... Amm2 (38)
Calculated formation energy ... 0.9 eV per formula unit
Size of the total moment ... 0.000 μB per atom

Unit cell a=8.5892 b=13.0703 c=13.0703 alpha=12.47 beta=90.00 gamma=90.00
Last column: nearest neighbours and their distance in Å.
Atoms (fractional coordinates):
Na  0.2472  0.0000  0.0000  8 B 2.64-2.79, 4 C 2.72-2.74, 4 Na 2.84-2.96
Na  0.2467  0.2002  0.2002  10 B 2.67-2.82, 2 C 2.79-2.81, 6 Na 2.84-2.97
Na  0.2485  0.4003  0.4003  10 B 2.71-2.86, 2 C 2.76, 6 Na 2.84-2.96
Na  0.2486  0.8006  0.8006  8 B 2.68-2.80, 4 C 2.70-2.71, 6 Na 2.84-2.97
Na  0.2496  0.6003  0.6003  9 B 2.66-2.90, 3 C 2.69-2.72, 6 Na 2.84-2.97
Na  0.7504  0.6003  0.6003  9 B 2.66-2.90, 3 C 2.69-2.72, 6 Na 2.84-2.97
Na  0.7514  0.8006  0.8006  8 B 2.68-2.80, 4 C 2.70-2.71, 6 Na 2.84-2.97
Na  0.7515  0.4003  0.4003  10 B 2.71-2.86, 2 C 2.76, 6 Na 2.84-2.96
Na  0.7528  0.0000  0.0000  8 B 2.64-2.79, 4 C 2.72-2.74, 4 Na 2.84-2.96
Na  0.7533  0.2002  0.2002  10 B 2.67-2.82, 2 C 2.79-2.81, 6 Na 2.84-2.97
B  0.0000  0.0668  0.0668  3 C 1.63-1.65
B  0.0000  0.2705  0.2705  1 C 1.63, 2 B 1.75
B  0.0000  0.4736  0.4736  1 C 1.61, 2 B 1.76
B  0.0000  0.6609  0.6609  2 C 1.63
B  0.0000  0.7311  0.7311  3 B 1.75-1.82
B  0.0000  0.8641  0.8641  2 C 1.63, 1 B 1.81
B  0.0000  0.9336  0.9336  3 B 1.76-1.81
B  0.5000  0.0673  0.0673  3 B 1.66-1.79
B  0.5000  0.1313  0.1313  3 B 1.66-1.77
B  0.5000  0.3301  0.3301  1 C 1.59, 2 B 1.74
B  0.5000  0.5255  0.5255  1 C 1.54
B  0.5000  0.6722  0.6722  3 B 1.73-1.77
B  0.5000  0.7389  0.7389  2 C 1.62, 1 B 1.73
B  0.5000  0.8685  0.8685  3 B 1.74
B  0.5000  0.9354  0.9354  2 C 1.63, 1 B 1.74
C  0.0000  0.1304  0.1304  3 B 1.63-1.65
C  0.0000  0.3330  0.3330  3 B 1.63
C  0.0000  0.5357  0.5357  3 B 1.61-1.63
C  0.5000  0.2688  0.2688  3 B 1.59-1.62
C  0.5000  0.4661  0.4661  3 B 1.54-1.63

***

Entry 2:
The following is a PBE calculation of a relaxed structure of Na2B3C, from the Alexandria database.

Properties
Excess energy over the best structure of this formula in the dataset ... 49 meV/atom
SG ... Pm (6)
Calculated formation energy ... 1.1 eV per formula unit
Size of the total moment ... 0.000 μB per atom

Unit cell a=5.0831 b=8.5804 c=5.8149 alpha=90.00 beta=90.04 gamma=90.00
Last column: nearest neighbours and their distance in Å.
Atoms (fractional coordinates):
Na  0.0000  0.2468  0.0000  9 B 2.70-2.83, 3 C 2.71-2.76, 6 Na 2.90-2.94
Na  0.0000  0.7532  0.0000  9 B 2.70-2.83, 3 C 2.71-2.76, 6 Na 2.90-2.94
Na  0.0016  0.2479  0.5006  10 B 2.71-2.81, 2 C 2.71-2.72, 6 Na 2.90-2.93
Na  0.0016  0.7521  0.5006  10 B 2.71-2.81, 2 C 2.71-2.72, 6 Na 2.90-2.93
Na  0.4998  0.2467  0.2507  9 B 2.66-2.77, 3 C 2.71-2.75, 6 Na 2.91-2.93
Na  0.4998  0.7533  0.2507  9 B 2.66-2.77, 3 C 2.71-2.75, 6 Na 2.91-2.93
Na  0.5020  0.2497  0.7505  8 B 2.67-2.76, 4 C 2.71-2.72, 6 Na 2.91-2.94
Na  0.5020  0.7503  0.7505  8 B 2.67-2.76, 4 C 2.71-2.72, 6 Na 2.91-2.94
B  0.1605  0.5000  0.7524  3 B 1.72-1.75
B  0.1608  0.5000  0.2485  3 B 1.72-1.75
B  0.1652  0.0000  0.7504  3 C 1.67-1.69
B  0.1826  0.0000  0.2508  2 C 1.67-1.68, 1 B 1.75
B  0.3391  0.5000  0.4999  3 B 1.71-1.73
B  0.3566  0.5000  0.0007  1 C 1.57, 2 B 1.75
B  0.6582  0.0000  0.5129  2 C 1.64, 1 B 1.78
B  0.6580  0.0000  0.9887  2 C 1.64-1.65, 1 B 1.78
B  0.6760  0.5000  0.5005  3 B 1.70-1.71
B  0.8220  0.5000  0.2365  1 C 1.58, 2 B 1.71-1.72
B  0.8227  0.5000  0.7639  1 C 1.59, 2 B 1.70-1.72
B  0.8391  0.0000  0.2504  3 B 1.75-1.78
C  0.3361  0.0000  0.5054  3 B 1.64-1.67
C  0.3360  0.0000  0.9954  3 B 1.64-1.68
C  0.6660  0.5000  0.0004  3 B 1.57-1.59
C  0.8325  0.0000  0.7502  3 B 1.64-1.69